Here is a relaxed structure of NaCrNF2 from Alexandria. Energies are from GGA+U.

Cell: 4.068 4.068 3.764 Å, 90.00 90.00 90.00°
Element x y z (fractional)
Na 0.000 0.000 0.000
Cr 0.500 0.500 0.500
N 0.500 0.500 0.000
F 0.000 0.500 0.500
F 0.500 0.000 0.500

Results
polymorph energy (0 for the lowest one)	0.00	eV per formula unit
VASP energy	-5.5977	eV per atom

***

Here is a relaxed structure of NaCrNF2 from Alexandria. Energies are from GGA+U.

Cell: 4.007 4.007 4.375 Å, 90.00 90.00 90.00°
Element x y z (fractional)
Na 0.000 0.000 0.000
Cr 0.500 0.500 0.500
N 0.000 0.000 0.500
F 0.000 0.500 0.000
F 0.500 0.000 0.000

Results
polymorph energy (0 for the lowest one)	5.78	eV per formula unit
VASP energy	-4.4424	eV per atom

***

Here is a relaxed structure of NbCrNF2 from Alexandria. Energies are from GGA+U.

Cell: 4.236 4.236 4.043 Å, 90.00 90.00 90.00°
Element x y z (fractional)
Nb 0.000 0.000 0.000
Cr 0.500 0.500 0.500
N 0.000 0.000 0.500
F 0.000 0.500 0.000
F 0.500 0.000 0.000

Results
polymorph energy (0 for the lowest one)	0.00	eV per formula unit
VASP energy	-7.0682	eV per atom

***

Here is a relaxed structure of NbCrNF2 from Alexandria. Energies are from GGA+U.

Cell: 3.731 3.731 4.731 Å, 90.00 90.00 90.00°
Element x y z (fractional)
Nb 0.000 0.000 0.000
Cr 0.500 0.500 0.500
N 0.500 0.500 0.000
F 0.000 0.500 0.500
F 0.500 0.000 0.500

Results
polymorph energy (0 for the lowest one)	2.46	eV per formula unit
VASP energy	-6.5754	eV per atom

***

Here is a relaxed structure of CrNiNF2 from Alexandria. Energies are from GGA+U.

Cell: 3.785 3.785 4.102 Å, 90.00 90.00 90.00°
Element x y z (fractional)
Cr 0.000 0.000 0.000
Ni 0.500 0.500 0.500
N 0.500 0.500 0.000
F 0.000 0.500 0.500
F 0.500 0.000 0.500

Results
polymorph energy (0 for the lowest one)	0.39	eV per formula unit
VASP energy	-4.9803	eV per atom

***

Here is a relaxed structure of CrNiN2F from Alexandria. Energies are from GGA+U.

Cell: 3.844 3.844 3.807 Å, 90.00 90.00 90.00°
Element x y z (fractional)
Cr 0.000 0.000 0.000
Ni 0.500 0.500 0.500
N 0.000 0.500 0.000
N 0.500 0.000 0.000
F 0.000 0.000 0.500

Results
polymorph energy (0 for the lowest one)	0.00	eV per formula unit
VASP energy	-5.2753	eV per atom

***

Here is a relaxed structure of CrNiNF2 from Alexandria. Energies are from GGA+U.

Cell: 3.917 3.917 3.849 Å, 90.00 90.00 90.00°
Element x y z (fractional)
Cr 0.000 0.000 0.000
Ni 0.500 0.500 0.500
N 0.000 0.000 0.500
F 0.000 0.500 0.000
F 0.500 0.000 0.000

Results
polymorph energy (0 for the lowest one)	0.00	eV per formula unit
VASP energy	-5.0588	eV per atom

***

Here is a relaxed structure of CrNiN2F from Alexandria. Energies are from GGA+U.

Cell: 3.784 3.784 3.832 Å, 90.00 90.00 90.00°
Element x y z (fractional)
Cr 0.000 0.000 0.000
Ni 0.500 0.500 0.500
N 0.000 0.500 0.500
N 0.500 0.000 0.500
F 0.500 0.500 0.000

Results
polymorph energy (0 for the lowest one)	0.65	eV per formula unit
VASP energy	-5.1463	eV per atom

***

Here is a relaxed structure of CrNO2F from Alexandria. Energies are from GGA+U.

Cell: 3.723 3.723 3.866 Å, 90.00 90.00 90.00°
Element x y z (fractional)
Cr 0.000 0.000 0.000
N 0.000 0.000 0.500
O 0.000 0.500 0.000
O 0.500 0.000 0.000
F 0.500 0.500 0.500

Results
VASP energy	-5.4123	eV per atom

***

Here is a relaxed structure of CrNO2F from Alexandria. Energies are from GGA+U.

Cell: 3.678 3.678 3.504 Å, 90.00 90.00 90.00°
Element x y z (fractional)
Cr 0.000 0.000 0.000
N 0.500 0.500 0.500
O 0.000 0.500 0.500
O 0.500 0.000 0.500
F 0.500 0.500 0.000

Results
VASP energy	-4.6209	eV per atom

***

Here is a relaxed structure of CrNO2F from Alexandria. Energies are from GGA+U.

Cell: 3.859 3.859 3.517 Å, 90.00 90.00 90.00°
Element x y z (fractional)
Cr 0.000 0.000 0.000
N 0.500 0.500 0.000
O 0.000 0.500 0.500
O 0.500 0.000 0.500
F 0.500 0.500 0.500

Results
VASP energy	-4.2061	eV per atom

***

Here is a relaxed structure of CrPN2F from Alexandria. Energies are from GGA+U.

Cell: 3.501 3.501 3.999 Å, 90.00 90.00 90.00°
Element x y z (fractional)
Cr 0.000 0.000 0.000
P 0.500 0.500 0.500
N 0.000 0.500 0.500
N 0.500 0.000 0.500
F 0.500 0.500 0.000

Results
polymorph energy (0 for the lowest one)	0.00	eV per formula unit
VASP energy	-6.1524	eV per atom